Record 1
DFT (PBE) results for Er2TmMg5 after structural relaxation.

POSCAR file:
```
Er2TmMg5
1.0
-2.610 2.610 7.509
2.610 -2.610 7.509
2.610 2.610 -7.509
Er Tm Mg
2 1 5
Direct
0.246 0.246 0.000
0.754 0.754 0.000
0.500 0.500 0.000
0.000 0.000 0.000
0.120 0.620 0.500
0.380 0.880 0.500
0.620 0.120 0.500
0.880 0.380 0.500
```

Output
- energy of formation from the pure elements (meV per atom) = -52

=====

Record 2
DFT (PBE) results for ErTm2Mg after structural relaxation.

POSCAR file:
```
ErTm2Mg
1.0
1.717 0.991 11.348
-1.717 0.991 11.348
0.000 -1.982 11.348
Er Tm Mg
1 2 1
Direct
0.000 0.000 0.000
0.417 0.417 0.417
0.583 0.583 0.583
0.167 0.167 0.167
```

Output
- energy of formation from the pure elements (meV per atom) = 45
- relative energy among the computed polymorphs (eV per formula unit) = 0.28

=====

Record 3
DFT (PBE) results for ErTmMg after structural relaxation.

POSCAR file:
```
ErTmMg
1.0
-1.786 1.786 6.609
1.786 -1.786 6.609
1.786 1.786 -6.609
Er Tm Mg
1 1 1
Direct
0.000 0.000 0.000
0.677 0.677 0.000
0.338 0.338 0.000
```

Output
- energy of formation from the pure elements (meV per atom) = -29
- relative energy among the computed polymorphs (eV per formula unit) = 0.00

=====

Record 4
DFT (PBE) results for ErTmMg after structural relaxation.

POSCAR file:
```
ErTmMg
1.0
1.689 -9.878 0.000
1.689 9.878 0.000
0.000 0.000 5.069
Er Tm Mg
2 2 2
Direct
0.208 0.792 0.750
0.792 0.208 0.250
0.386 0.614 0.750
0.614 0.386 0.250
0.041 0.959 0.750
0.959 0.041 0.250
```

Output
- energy of formation from the pure elements (meV per atom) = -4
- relative energy among the computed polymorphs (eV per formula unit) = 0.08

=====

Record 5
DFT (PBE) results for Er6TmMg after structural relaxation.

POSCAR file:
```
Er6TmMg
1.0
4.648 2.684 3.248
-4.648 2.684 3.248
0.000 -5.367 3.248
Er Tm Mg
6 1 1
Direct
0.046 0.754 0.497
0.246 0.503 0.954
0.497 0.046 0.754
0.503 0.954 0.246
0.754 0.497 0.046
0.954 0.246 0.503
0.500 0.500 0.500
0.000 0.000 0.000
```

Output
- energy of formation from the pure elements (meV per atom) = 143
- relative energy among the computed polymorphs (eV per formula unit) = 0.95

=====

Record 6
DFT (PBE) results for Er2TmMg9 after structural relaxation.

POSCAR file:
```
Er2TmMg9
1.0
4.639 0.000 0.000
0.000 4.639 0.000
0.000 0.000 13.900
Er Tm Mg
2 1 9
Direct
0.000 0.000 0.167
0.000 0.000 0.833
0.000 0.000 0.500
0.000 0.500 0.000
0.000 0.500 0.334
0.000 0.500 0.666
0.500 0.000 0.000
0.500 0.000 0.334
0.500 0.000 0.666
0.500 0.500 0.167
0.500 0.500 0.500
0.500 0.500 0.833
```

Output
- energy of formation from the pure elements (meV per atom) = -47
- relative energy among the computed polymorphs (eV per formula unit) = 0.00

=====

Record 7
DFT (PBE) results for Er2TmMg after structural relaxation.

POSCAR file:
```
Er2TmMg
1.0
0.000 3.529 9.243
3.524 0.000 9.243
3.524 3.529 0.000
Er Tm Mg
4 2 2
Direct
0.000 0.000 0.500
0.130 0.130 0.870
0.500 0.500 0.000
0.870 0.870 0.130
0.369 0.369 0.631
0.631 0.631 0.369
0.250 0.250 0.250
0.750 0.750 0.750
```

Output
- energy of formation from the pure elements (meV per atom) = -26
- relative energy among the computed polymorphs (eV per formula unit) = 0.00

=====

Record 8
DFT (PBE) results for ErTmMg14 after structural relaxation.

POSCAR file:
```
ErTmMg14
1.0
6.916 0.000 0.000
0.000 6.916 0.000
0.000 0.000 7.949
Er Tm Mg
1 1 14
Direct
0.000 0.000 0.000
0.500 0.500 0.000
0.000 0.000 0.500
0.000 0.500 0.000
0.000 0.500 0.500
0.250 0.250 0.260
0.250 0.250 0.740
0.250 0.750 0.260
0.250 0.750 0.740
0.500 0.000 0.000
0.500 0.000 0.500
0.500 0.500 0.500
0.750 0.250 0.260
0.750 0.250 0.740
0.750 0.750 0.260
0.750 0.750 0.740
```

Output
- energy of formation from the pure elements (meV per atom) = -17

=====

Record 9
DFT (PBE) results for Er2TmMg after structural relaxation.

POSCAR file:
```
Er2TmMg
1.0
1.720 0.993 11.354
-1.720 0.993 11.354
0.000 -1.986 11.354
Er Tm Mg
2 1 1
Direct
0.000 0.000 0.000
0.167 0.167 0.167
0.583 0.583 0.583
0.417 0.417 0.417
```

Output
- energy of formation from the pure elements (meV per atom) = 44
- relative energy among the computed polymorphs (eV per formula unit) = 0.28

=====

Record 10
DFT (PBE) results for ErTm7Mg2 after structural relaxation.

POSCAR file:
```
ErTm7Mg2
1.0
4.365 -8.151 0.000
4.365 8.151 0.000
0.000 0.000 5.114
Er Tm Mg
1 7 2
Direct
0.000 0.000 0.000
0.070 0.292 0.500
0.206 0.794 0.000
0.292 0.070 0.500
0.500 0.500 0.500
0.708 0.930 0.500
0.794 0.206 0.000
0.930 0.708 0.500
0.300 0.700 0.500
0.700 0.300 0.500
```

Output
- energy of formation from the pure elements (meV per atom) = 594

=====

Record 11
DFT (PBE) results for Er3TmMg7 after structural relaxation.

POSCAR file:
```
Er3TmMg7
1.0
5.373 -5.094 0.000
5.373 5.094 0.000
-1.912 0.000 5.679
Er Tm Mg
3 1 7
Direct
0.000 0.000 0.000
0.193 0.807 0.500
0.807 0.193 0.500
0.500 0.500 0.000
0.055 0.566 0.814
0.237 0.237 0.524
0.434 0.945 0.186
0.500 0.500 0.500
0.566 0.055 0.814
0.763 0.763 0.476
0.945 0.434 0.186
```

Output
- energy of formation from the pure elements (meV per atom) = 213
- relative energy among the computed polymorphs (eV per formula unit) = 1.19

=====

Record 12
DFT (PBE) results for Er5Tm6Mg2 after structural relaxation.

POSCAR file:
```
Er5Tm6Mg2
1.0
10.184 0.000 0.000
0.000 22.154 0.000
0.000 0.000 3.513
Er Tm Mg
10 12 4
Direct
0.000 0.000 0.000
0.078 0.252 0.000
0.166 0.506 0.000
0.334 0.006 0.000
0.422 0.752 0.000
0.500 0.500 0.000
0.578 0.248 0.000
0.666 0.994 0.000
0.834 0.494 0.000
0.922 0.748 0.000
0.021 0.388 0.500
0.142 0.118 0.500
0.169 0.865 0.000
0.331 0.365 0.000
0.358 0.618 0.500
0.479 0.888 0.500
0.521 0.112 0.500
0.642 0.382 0.500
0.669 0.635 0.000
0.831 0.135 0.000
0.858 0.882 0.500
0.979 0.612 0.500
0.172 0.739 0.500
0.328 0.239 0.500
0.672 0.761 0.500
0.828 0.261 0.500
```

Output
- energy of formation from the pure elements (meV per atom) = 148